Rb3Na2MoO6: optimized geometry, PBE+U.

- VASP energy (eV/f.u.) = -59.87
- calculated volume (A^3/atom) = 16.8

a b c (Å): 6.1096 6.1096 6.5448
angles (deg): 98.66 98.66 120.06
Element x y z (fractional)
Rb (0.0000, 0.0000, 0.0000)
Rb (0.3245, 0.6755, 0.0000)
Rb (0.6755, 0.3245, 0.0000)
Na (0.1663, 0.8337, 0.5000)
Na (0.8337, 0.1663, 0.5000)
Mo (0.5000, 0.5000, 0.5000)
O (0.1738, 0.4394, 0.3235)
O (0.2976, 0.2976, 0.6843)
O (0.4394, 0.1738, 0.3235)
O (0.5606, 0.8262, 0.6765)
O (0.7024, 0.7024, 0.3157)
O (0.8262, 0.5606, 0.6765)